[1]
# Tm8Pt3Se4S (GGA-PBE, relaxed)
data_Tm8Pt3Se4S
_chemical_formula_sum 'Tm24 Pt9 Se12 S3'
_space_group_name_H-M_alt 'R -3 m'
_space_group_IT_number 166
_space_group_name_Hall '-R 3 2"'
_cell_length_a 7.9335
_cell_length_b 7.9335
_cell_length_c 20.7121
_cell_angle_alpha 90.00
_cell_angle_beta 90.00
_cell_angle_gamma 120.00
loop_
_atom_site_label
_atom_site_fract_x
_atom_site_fract_y
_atom_site_fract_z
Tm1 0.0000 0.0000 0.2426
Tm2 0.0070 0.5035 0.7558
Pt1 0.0000 0.5000 0.5000
Se1 0.0000 0.0000 0.0000
Se2 0.0000 0.5000 0.0000
S1 0.0000 0.0000 0.5000
# Theoretical density, g cm⁻³: 10.08
# E_form (uncorrected), eV/atom: -1.55
# M_tot, μB per formula unit: 0.000

[2]
# Li2TiGeH (GGA-PBE, relaxed)
data_Li2TiGeH
_chemical_formula_sum 'Li2 Ti1 Ge1 H1'
_space_group_name_H-M_alt 'P 4/m m m'
_space_group_IT_number 123
_space_group_name_Hall '-P 4 2'
_cell_length_a 3.782
_cell_length_b 3.782
_cell_length_c 4.198
_cell_angle_alpha 90.00
_cell_angle_beta 90.00
_cell_angle_gamma 90.00
loop_
_atom_site_label
_atom_site_fract_x
_atom_site_fract_y
_atom_site_fract_z
Li1 0.000 0.500 0.000
Ti1 0.000 0.000 0.500
Ge1 0.500 0.500 0.500
H1 0.000 0.000 0.000
# VASP energy, eV for the cell shown: -21.71
# Theoretical density, g cm⁻³: 3.74
# M_tot, μB per formula unit: 0.025

[3]
# Pm2HoPb (GGA-PBE, relaxed)
data_Pm2HoPb
_chemical_formula_sum 'Pm6 Ho3 Pb3'
_space_group_name_H-M_alt 'R 3 m'
_space_group_IT_number 160
_space_group_name_Hall 'R 3 -2"'
_cell_length_a 3.6501
_cell_length_b 3.6501
_cell_length_c 33.5264
_cell_angle_alpha 90.00
_cell_angle_beta 90.00
_cell_angle_gamma 120.00
loop_
_atom_site_label
_atom_site_fract_x
_atom_site_fract_y
_atom_site_fract_z
Pm1 0.0000 0.0000 0.0000
Pm2 0.0000 0.0000 0.1712
Ho1 0.0000 0.0000 0.4189
Pb1 0.0000 0.0000 0.5853
# Theoretical density, g cm⁻³: 8.53
# Offset from the most stable computed form, eV/atom: 0.1570
# M_tot, μB per formula unit: 0.173

[4]
# Ce2ErNiS5 (GGA-PBE, relaxed)
data_Ce2ErNiS5
_chemical_formula_sum 'Ce8 Er4 Ni4 S20'
_space_group_name_H-M_alt 'C m c 21'
_space_group_IT_number 36
_cell_length_a 3.816
_cell_length_b 16.341
_cell_length_c 11.785
_cell_angle_alpha 90.00
_cell_angle_beta 90.00
_cell_angle_gamma 90.00
loop_
_space_group_symop_operation_xyz
'x,y,z'
'-x,-y,z+1/2'
'-x,y,z'
'x,-y,z+1/2'
'x+1/2,y+1/2,z'
'-x+1/2,-y+1/2,z+1/2'
'-x+1/2,y+1/2,z'
'x+1/2,-y+1/2,z+1/2'
loop_
_atom_site_label
_atom_site_fract_x
_atom_site_fract_y
_atom_site_fract_z
Ce1 0.000 0.111 0.000
Ce2 0.000 0.119 0.347
Er1 0.000 0.177 0.677
Ni1 0.000 0.448 0.068
S1 0.000 0.014 0.661
S2 0.000 0.304 0.339
S3 0.000 0.315 0.012
S4 0.000 0.342 0.672
S5 0.000 0.496 0.399
# Theoretical density, g cm⁻³: 6.02
# E_form (uncorrected), eV/atom: -1.76
# M_tot, μB per formula unit: 1.069

[5]
# MgPb2W (GGA-PBE, relaxed)
data_MgPb2W
_chemical_formula_sum 'Mg2 Pb4 W2'
_space_group_name_H-M_alt 'C m m m'
_space_group_IT_number 65
_space_group_name_Hall '-C 2 2'
_cell_length_a 3.553
_cell_length_b 5.093
_cell_length_c 10.863
_cell_angle_alpha 90.00
_cell_angle_beta 90.00
_cell_angle_gamma 90.00
loop_
_atom_site_label
_atom_site_fract_x
_atom_site_fract_y
_atom_site_fract_z
Mg1 0.000 0.000 0.000
Pb1 0.000 0.500 0.281
W1 0.000 0.000 0.500
# VASP energy, eV for the cell shown: -38.64
# Theoretical density, g cm⁻³: 10.52
# M_tot, μB per formula unit: 0.000

[6]
# MgPtCl2 (GGA-PBE, relaxed)
data_MgPtCl2
_chemical_formula_sum 'Mg2 Pt2 Cl4'
_space_group_name_H-M_alt 'C 1 2/m 1'
_space_group_IT_number 12
_cell_length_a 13.132
_cell_length_b 3.444
_cell_length_c 4.499
_cell_angle_alpha 90.00
_cell_angle_beta 95.04
_cell_angle_gamma 90.00
loop_
_space_group_symop_operation_xyz
'x,y,z'
'-x,-y,-z'
'-x,y,-z'
'x,-y,z'
'x+1/2,y+1/2,z'
'-x+1/2,-y+1/2,-z'
'-x+1/2,y+1/2,-z'
'x+1/2,-y+1/2,z'
loop_
_atom_site_label
_atom_site_fract_x
_atom_site_fract_y
_atom_site_fract_z
Mg1 0.000 0.000 0.000
Pt1 0.000 0.500 0.500
Cl1 0.134 0.500 0.204
# Theoretical density, g cm⁻³: 4.76
# Offset from the most stable computed form, eV/atom: 0.0000
# E_form (uncorrected), eV/atom: -0.87
# M_tot, μB per formula unit: 0.000

[7]
# LiTb2Si2Ir5 (GGA-PBE, relaxed)
data_LiTb2Si2Ir5
_chemical_formula_sum 'Li2 Tb4 Si4 Ir10'
_space_group_name_H-M_alt 'P 4/m b m'
_space_group_IT_number 127
_space_group_name_Hall '-P 4 2ab'
_cell_length_a 9.837
_cell_length_b 9.837
_cell_length_c 3.382
_cell_angle_alpha 90.00
_cell_angle_beta 90.00
_cell_angle_gamma 90.00
loop_
_atom_site_label
_atom_site_fract_x
_atom_site_fract_y
_atom_site_fract_z
Li1 0.000 0.000 0.000
Tb1 0.174 0.326 0.000
Si1 0.127 0.627 0.000
Ir1 0.000 0.500 0.500
Ir2 0.066 0.791 0.500
# Theoretical density, g cm⁻³: 13.62
# E_form (uncorrected), eV/atom: -0.72
# M_tot, μB per formula unit: 0.000

[8]
# Er2TlH (GGA-PBE, relaxed)
data_Er2TlH
_chemical_formula_sum 'Er8 Tl4 H4'
_space_group_name_H-M_alt 'P n m a'
_space_group_IT_number 62
_cell_length_a 6.800
_cell_length_b 4.782
_cell_length_c 10.241
_cell_angle_alpha 90.00
_cell_angle_beta 90.00
_cell_angle_gamma 90.00
loop_
_space_group_symop_operation_xyz
'x,y,z'
'-x,-y,-z'
'-x+1/2,-y,z+1/2'
'x+1/2,y,-z+1/2'
'x+1/2,-y+1/2,-z+1/2'
'-x+1/2,y+1/2,z+1/2'
'-x,y+1/2,-z'
'x,-y+1/2,z'
loop_
_atom_site_label
_atom_site_fract_x
_atom_site_fract_y
_atom_site_fract_z
Er1 0.076 0.250 0.204
Er2 0.154 0.250 0.548
Tl1 0.193 0.250 0.864
H1 0.101 0.750 0.615
# Theoretical density, g cm⁻³: 10.77
# Offset from the most stable computed form, eV/atom: 0.0244
# M_tot, μB per formula unit: 0.039

[9]
# NbCr2Ir2 (GGA-PBE, relaxed)
data_NbCr2Ir2
_chemical_formula_sum 'Nb2 Cr4 Ir4'
_space_group_name_H-M_alt 'P 4/m b m'
_space_group_IT_number 127
_space_group_name_Hall '-P 4 2ab'
_cell_length_a 7.260
_cell_length_b 7.260
_cell_length_c 2.723
_cell_angle_alpha 90.00
_cell_angle_beta 90.00
_cell_angle_gamma 90.00
loop_
_atom_site_label
_atom_site_fract_x
_atom_site_fract_y
_atom_site_fract_z
Nb1 0.000 0.000 0.000
Cr1 0.117 0.383 0.000
Ir1 0.175 0.675 0.500
# Theoretical density, g cm⁻³: 13.45
# Offset from the most stable computed form, eV/atom: 0.0000
# M_tot, μB per formula unit: 0.000

[10]
# CaAcSmSc (GGA-PBE, relaxed)
data_CaAcSmSc
_chemical_formula_sum 'Ca4 Ac4 Sm4 Sc4'
_space_group_name_H-M_alt 'F -4 3 m'
_space_group_IT_number 216
_space_group_name_Hall 'F -4 2 3'
_cell_length_a 8.251
_cell_length_b 8.251
_cell_length_c 8.251
_cell_angle_alpha 90.00
_cell_angle_beta 90.00
_cell_angle_gamma 90.00
loop_
_atom_site_label
_atom_site_fract_x
_atom_site_fract_y
_atom_site_fract_z
Ca1 0.000 0.000 0.000
Ac1 0.250 0.250 0.750
Sm1 0.250 0.250 0.250
Sc1 0.000 0.000 0.500
# VASP energy, eV for the cell shown: -66.44
# Theoretical density, g cm⁻³: 5.47
# M_tot, μB per formula unit: 0.000

[11]
# InNi3B (GGA-PBE, relaxed)
data_InNi3B
_chemical_formula_sum 'In4 Ni12 B4'
_space_group_name_H-M_alt 'P 63/m m c'
_space_group_IT_number 194
_space_group_name_Hall '-P 6c 2c'
_cell_length_a 5.5586
_cell_length_b 5.5586
_cell_length_c 8.8538
_cell_angle_alpha 90.00
_cell_angle_beta 90.00
_cell_angle_gamma 120.00
loop_
_atom_site_label
_atom_site_fract_x
_atom_site_fract_y
_atom_site_fract_z
In1 0.0000 0.0000 0.0000
In2 0.3333 0.6667 0.2500
Ni1 0.0000 0.5000 0.0000
Ni2 0.1555 0.3110 0.7500
B1 0.3333 0.6667 0.6392
# VASP energy, eV for the cell shown: -111.04
# Theoretical density, g cm⁻³: 8.46
# M_tot, μB per formula unit: 0.000

[12]
# Li2CdGeSe4 (GGA-PBE, relaxed)
data_Li2CdGeSe4
_chemical_formula_sum 'Li4 Cd2 Ge2 Se8'
_space_group_name_H-M_alt 'P m n 21'
_space_group_IT_number 31
_cell_length_a 8.229
_cell_length_b 7.254
_cell_length_c 6.822
_cell_angle_alpha 90.00
_cell_angle_beta 90.00
_cell_angle_gamma 90.00
loop_
_space_group_symop_operation_xyz
'x,y,z'
'-x+1/2,-y,z+1/2'
'-x,y,z'
'x+1/2,-y,z+1/2'
loop_
_atom_site_label
_atom_site_fract_x
_atom_site_fract_y
_atom_site_fract_z
Li1 0.246 0.175 0.000
Cd1 0.000 0.351 0.493
Ge1 0.000 0.673 0.996
Se1 0.000 0.360 0.889
Se2 0.000 0.693 0.347
Se3 0.232 0.838 0.875
# Theoretical density, g cm⁻³: 4.20
# E_form (uncorrected), eV/atom: -0.77
# M_tot, μB per formula unit: 0.000

[13]
# Be2ReHg (GGA-PBE, relaxed)
data_Be2ReHg
_chemical_formula_sum 'Be4 Re2 Hg2'
_space_group_name_H-M_alt 'C m m m'
_space_group_IT_number 65
_space_group_name_Hall '-C 2 2'
_cell_length_a 3.237
_cell_length_b 4.409
_cell_length_c 7.906
_cell_angle_alpha 90.00
_cell_angle_beta 90.00
_cell_angle_gamma 90.00
loop_
_atom_site_label
_atom_site_fract_x
_atom_site_fract_y
_atom_site_fract_z
Be1 0.000 0.000 0.216
Re1 0.000 0.500 0.000
Hg1 0.000 0.500 0.500
# VASP energy, eV for the cell shown: -37.09
# Theoretical density, g cm⁻³: 11.91
# M_tot, μB per formula unit: 0.001

[14]
# Th4GaSb2P (GGA-PBE, relaxed)
data_Th4GaSb2P
_chemical_formula_sum 'Th4 Ga1 Sb2 P1'
_space_group_name_H-M_alt 'P 1 2/m 1'
_space_group_IT_number 10
_cell_length_a 7.474
_cell_length_b 4.339
_cell_length_c 7.710
_cell_angle_alpha 90.00
_cell_angle_beta 109.03
_cell_angle_gamma 90.00
loop_
_space_group_symop_operation_xyz
'x,y,z'
'-x,-y,-z'
'-x,y,-z'
'x,-y,z'
loop_
_atom_site_label
_atom_site_fract_x
_atom_site_fract_y
_atom_site_fract_z
Th1 0.237 0.000 0.222
Th2 0.254 0.500 0.773
Ga1 0.500 0.000 0.000
Sb1 0.000 0.000 0.500
Sb2 0.500 0.500 0.500
P1 0.000 0.500 0.000
# Theoretical density, g cm⁻³: 8.94
# E_form (uncorrected), eV/atom: -0.93
# M_tot, μB per formula unit: 0.000

[15]
# TbPmTm2 (GGA-PBE, relaxed)
data_TbPmTm2
_chemical_formula_sum 'Tb1 Pm1 Tm2'
_space_group_name_H-M_alt 'P 4/m m m'
_space_group_IT_number 123
_space_group_name_Hall '-P 4 2'
_cell_length_a 5.030
_cell_length_b 5.030
_cell_length_c 4.983
_cell_angle_alpha 90.00
_cell_angle_beta 90.00
_cell_angle_gamma 90.00
loop_
_atom_site_label
_atom_site_fract_x
_atom_site_fract_y
_atom_site_fract_z
Tb1 0.000 0.000 0.000
Pm1 0.500 0.500 0.000
Tm1 0.000 0.500 0.500
# Theoretical density, g cm⁻³: 8.45
# Offset from the most stable computed form, eV/atom: 0.0092
# M_tot, μB per formula unit: 0.000

[16]
# CdOsPb2 (GGA-PBE, relaxed)
data_CdOsPb2
_chemical_formula_sum 'Cd2 Os2 Pb4'
_space_group_name_H-M_alt 'C m m 2'
_space_group_IT_number 35
_cell_length_a 3.472
_cell_length_b 5.291
_cell_length_c 10.517
_cell_angle_alpha 90.00
_cell_angle_beta 90.00
_cell_angle_gamma 90.00
loop_
_space_group_symop_operation_xyz
'x,y,z'
'-x,-y,z'
'-x,y,z'
'x,-y,z'
'x+1/2,y+1/2,z'
'-x+1/2,-y+1/2,z'
'-x+1/2,y+1/2,z'
'x+1/2,-y+1/2,z'
loop_
_atom_site_label
_atom_site_fract_x
_atom_site_fract_y
_atom_site_fract_z
Cd1 0.000 0.000 0.000
Os1 0.000 0.500 0.206
Pb1 0.000 0.000 0.411
Pb2 0.000 0.500 0.743
# VASP energy, eV for the cell shown: -33.84
# Theoretical density, g cm⁻³: 12.33
# M_tot, μB per formula unit: 0.000

[17]
# La2OsSe2 (GGA-PBE, relaxed)
data_La2OsSe2
_chemical_formula_sum 'La4 Os2 Se4'
_space_group_name_H-M_alt 'I 4/m m m'
_space_group_IT_number 139
_space_group_name_Hall '-I 4 2'
_cell_length_a 3.839
_cell_length_b 3.839
_cell_length_c 16.948
_cell_angle_alpha 90.00
_cell_angle_beta 90.00
_cell_angle_gamma 90.00
loop_
_atom_site_label
_atom_site_fract_x
_atom_site_fract_y
_atom_site_fract_z
La1 0.000 0.000 0.099
Os1 0.000 0.000 0.500
Se1 0.000 0.500 0.250
# Theoretical density, g cm⁻³: 8.32
# Offset from the most stable computed form, eV/atom: 0.1489
# E_form (uncorrected), eV/atom: -0.46
# M_tot, μB per formula unit: 0.000

[18]
# MnReTe2 (GGA-PBE, relaxed)
data_MnReTe2
_chemical_formula_sum 'Mn3 Re3 Te6'
_space_group_name_H-M_alt 'R -3 m'
_space_group_IT_number 166
_space_group_name_Hall '-R 3 2"'
_cell_length_a 3.2863
_cell_length_b 3.2863
_cell_length_c 26.0136
_cell_angle_alpha 90.00
_cell_angle_beta 90.00
_cell_angle_gamma 120.00
loop_
_atom_site_label
_atom_site_fract_x
_atom_site_fract_y
_atom_site_fract_z
Mn1 0.0000 0.0000 0.0000
Re1 0.0000 0.0000 0.5000
Te1 0.0000 0.0000 0.4015
# Theoretical density, g cm⁻³: 10.16
# Offset from the most stable computed form, eV/atom: 0.6928
# E_form (uncorrected), eV/atom: 0.78
# M_tot, μB per formula unit: 2.255

[19]
# Pr3GaAg2 (GGA-PBE, relaxed)
data_Pr3GaAg2
_chemical_formula_sum 'Pr3 Ga1 Ag2'
_space_group_name_H-M_alt 'P 4/m m m'
_space_group_IT_number 123
_space_group_name_Hall '-P 4 2'
_cell_length_a 3.757
_cell_length_b 3.757
_cell_length_c 11.301
_cell_angle_alpha 90.00
_cell_angle_beta 90.00
_cell_angle_gamma 90.00
loop_
_atom_site_label
_atom_site_fract_x
_atom_site_fract_y
_atom_site_fract_z
Pr1 0.000 0.000 0.000
Pr2 0.000 0.000 0.340
Ga1 0.500 0.500 0.500
Ag1 0.500 0.500 0.170
# Theoretical density, g cm⁻³: 7.37
# Offset from the most stable computed form, eV/atom: 0.0000
# M_tot, μB per formula unit: 0.122

[20]
# TlAgF5 (GGA-PBE, relaxed)
data_TlAgF5
_chemical_formula_sum 'Tl2 Ag2 F10'
_space_group_name_H-M_alt 'I m m m'
_space_group_IT_number 71
_space_group_name_Hall '-I 2 2'
_cell_length_a 4.305
_cell_length_b 6.898
_cell_length_c 8.518
_cell_angle_alpha 90.00
_cell_angle_beta 90.00
_cell_angle_gamma 90.00
loop_
_atom_site_label
_atom_site_fract_x
_atom_site_fract_y
_atom_site_fract_z
Tl1 0.000 0.000 0.000
Ag1 0.000 0.000 0.500
F1 0.000 0.000 0.260
F2 0.000 0.312 0.000
F3 0.000 0.500 0.500
# Theoretical density, g cm⁻³: 5.35
# E_form (uncorrected), eV/atom: -1.45
# M_tot, μB per formula unit: 0.578

[21]
# La2AuCl (GGA-PBE, relaxed)
data_La2AuCl
_chemical_formula_sum 'La8 Au4 Cl4'
_space_group_name_H-M_alt 'F -4 3 m'
_space_group_IT_number 216
_space_group_name_Hall 'F -4 2 3'
_cell_length_a 7.439
_cell_length_b 7.439
_cell_length_c 7.439
_cell_angle_alpha 90.00
_cell_angle_beta 90.00
_cell_angle_gamma 90.00
loop_
_atom_site_label
_atom_site_fract_x
_atom_site_fract_y
_atom_site_fract_z
La1 0.000 0.000 0.000
La2 0.250 0.250 0.250
Au1 0.250 0.250 0.750
Cl1 0.000 0.000 0.500
# Theoretical density, g cm⁻³: 8.23
# Offset from the most stable computed form, eV/atom: 0.8763
# E_form (uncorrected), eV/atom: -0.32
# M_tot, μB per formula unit: 0.504

[22]
# CaAlMo2 (GGA-PBE, relaxed)
data_CaAlMo2
_chemical_formula_sum 'Ca2 Al2 Mo4'
_space_group_name_H-M_alt 'I 4/m m m'
_space_group_IT_number 139
_space_group_name_Hall '-I 4 2'
_cell_length_a 3.980
_cell_length_b 3.980
_cell_length_c 9.254
_cell_angle_alpha 90.00
_cell_angle_beta 90.00
_cell_angle_gamma 90.00
loop_
_atom_site_label
_atom_site_fract_x
_atom_site_fract_y
_atom_site_fract_z
Ca1 0.000 0.000 0.000
Al1 0.000 0.000 0.500
Mo1 0.000 0.500 0.250
# VASP energy, eV for the cell shown: -50.65
# Theoretical density, g cm⁻³: 5.87
# M_tot, μB per formula unit: 0.000

[23]
# Mg5Si6 (GGA-PBE, relaxed)
data_Mg5Si6
_chemical_formula_sum 'Mg10 Si12'
_space_group_name_H-M_alt 'P 1'
_space_group_IT_number 1
_cell_length_a 4.091
_cell_length_b 8.340
_cell_length_c 12.783
_cell_angle_alpha 106.56
_cell_angle_beta 98.88
_cell_angle_gamma 90.13
loop_
_space_group_symop_operation_xyz
'x,y,z'
loop_
_atom_site_label
_atom_site_fract_x
_atom_site_fract_y
_atom_site_fract_z
Mg1 0.000 0.000 0.000
Mg2 0.002 0.590 0.005
Mg3 0.088 0.377 0.183
Mg4 0.133 0.815 0.273
Mg5 0.191 0.290 0.388
Mg6 0.253 0.011 0.516
Mg7 0.310 0.502 0.636
Mg8 0.384 0.984 0.777
Mg9 0.501 0.275 0.003
Mg10 0.786 0.766 0.586
Si1 0.217 0.653 0.443
Si2 0.418 0.426 0.830
Si3 0.447 0.728 0.896
Si4 0.547 0.841 0.096
Si5 0.578 0.590 0.159
Si6 0.594 0.144 0.196
Si7 0.666 0.539 0.342
Si8 0.679 0.047 0.363
Si9 0.763 0.274 0.538
Si10 0.825 0.101 0.661
Si11 0.896 0.744 0.792
Si12 0.927 0.261 0.853
# Theoretical density, g cm⁻³: 2.34
# Offset from the most stable computed form, eV/atom: 0.0635
# E_form (uncorrected), eV/atom: 0.09
# M_tot, μB per formula unit: 0.000